Below is a relaxed PuUFeGe crystal, with properties calculated at the PBE level.

Properties
The density of states at the Fermi level comes out at 1.319 states/eV/atom. Its energy of formation from the pure elements is 4 meV/atom. The space group is F-43m, No. 216.

Cell: 4.6751 4.6751 4.6751 Å, 60.00 60.00 60.00°
Last column: nearest neighbours and their distance in Å.
Sites, in units of the cell vectors:
1 Fe 0.7500 0.7500 0.7500  4 Ge 2.86, 4 U 2.86
2 Pu 0.2500 0.2500 0.2500  4 Ge 2.86, 4 U 2.86
3 Ge 0.5000 0.5000 0.5000  4 Fe 2.86, 4 Pu 2.86
4 U 0.0000 0.0000 0.0000  4 Pu 2.86, 4 Fe 2.86